1.
First-principles (meta-GGA SCAN) data for a PBEsol-optimized structure of ZnCd3, as listed in the Alexandria database.

a b c (Å): 5.243 5.243 5.243
angles (deg): 132.38 132.38 69.63
Sites, in units of the cell vectors:
Zn 0.000 0.000 0.000
Cd 0.250 0.750 0.500
Cd 0.500 0.500 0.000
Cd 0.750 0.250 0.500

---

2.
First-principles (meta-GGA SCAN) data for a PBEsol-optimized structure of MgZn4Pt, as listed in the Alexandria database.

a b c (Å): 4.932 4.932 4.932
angles (deg): 60.00 60.00 60.00
Sites, in units of the cell vectors:
Mg 0.000 0.000 0.000
Zn 0.126 0.625 0.625
Zn 0.625 0.126 0.625
Zn 0.625 0.625 0.126
Zn 0.625 0.625 0.625
Pt 0.250 0.250 0.250

---

3.
First-principles (meta-GGA SCAN) data for a PBEsol-optimized structure of MgSc2Ag, as listed in the Alexandria database.

a b c (Å): 5.880 5.880 4.973
angles (deg): 114.97 114.97 33.03
Sites, in units of the cell vectors:
Mg 0.000 0.000 0.000
Sc 0.555 0.555 0.555
Sc 0.775 0.775 0.274
Ag 0.284 0.284 0.783

---

4.
First-principles (meta-GGA SCAN) data for a PBEsol-optimized structure of Sr2AgPb, as listed in the Alexandria database.

a b c (Å): 3.830 3.830 8.325
angles (deg): 90.00 90.00 90.00
Sites, in units of the cell vectors:
Sr 0.000 0.000 0.235
Sr 0.000 0.000 0.765
Ag 0.500 0.500 0.000
Pb 0.500 0.500 0.500

---

Number 1: ΔE_f 0.0865 eV/atom. Number 2: ΔE_f -0.4104 eV/atom. Number 3: ΔE_f -0.1493 eV/atom. Number 4: ΔE_f -0.5296 eV/atom.